Compound: Sr2NdCu9
Source: the Alexandria database
Functional: PBE
Structure: optimized geometry

abc: 5.2981 5.2981 9.1633
angles: 73.20 73.20 60.00
Fractional coordinates of all 12 atoms:
Sr1 0.8583 0.8583 0.4251
Sr2 0.1417 0.1417 0.5749
Nd1 0.0000 0.0000 0.0000
Cu1 0.6687 0.6687 0.9940
Cu2 0.3313 0.3313 0.0060
Cu3 0.5000 0.5000 0.5000
Cu4 0.4258 0.4258 0.2335
Cu5 0.9149 0.4258 0.2335
Cu6 0.4258 0.9149 0.2335
Cu7 0.5742 0.5742 0.7665
Cu8 0.5742 0.0851 0.7665
Cu9 0.0851 0.5742 0.7665

Calculated values
Total energy   -3.800 eV/atom

Compound: Th6OsAu
Source: the Alexandria database
Functional: PBE
Structure: optimized geometry

abc: 9.1190 9.1192 5.2033
angles: 73.43 73.43 33.15
Fractional coordinates of all 8 atoms:
Th1 0.2463 0.2463 0.7536
Th2 0.8955 0.8954 0.6047
Th3 0.3955 0.3954 0.1046
Th4 0.1045 0.1046 0.3953
Th5 0.7537 0.7537 0.2464
Th6 0.6045 0.6046 0.8954
Os1 0.0000 0.0000 0.0000
Au1 0.5000 0.5000 0.5000

Calculated values
Total energy   -7.575 eV/atom

Compound: AlMoC2
Source: the Alexandria database
Functional: PBE
Structure: optimized geometry

abc: 4.6955 4.6955 5.6942
angles: 65.65 65.65 90.00
Fractional coordinates of all 8 atoms:
C1 0.6318 0.1250 0.2500
C2 0.1182 0.6250 0.2500
C3 0.3750 0.3682 0.7500
C4 0.8750 0.8818 0.7500
Mo1 0.0000 0.0000 0.0000
Mo2 0.7500 0.2500 0.5000
Al1 0.5000 0.5000 0.0000
Al2 0.2500 0.7500 0.5000

Calculated values
Total energy   -7.892 eV/atom

Compound: Rb2In4Sn3Bi
Source: the Alexandria database
Functional: PBE
Structure: optimized geometry

abc: 5.3405 5.3405 11.9102
angles: 90.00 90.00 90.00
Fractional coordinates of all 10 atoms:
Rb1 0.5000 0.0000 0.2488
Rb2 0.0000 0.5000 0.7512
In1 0.5000 0.5000 0.0000
In2 0.0000 0.0000 0.0000
In3 0.5000 0.0000 0.6314
In4 0.0000 0.5000 0.3686
Sn1 0.0000 0.0000 0.5000
Sn2 0.5000 0.0000 0.8763
Sn3 0.0000 0.5000 0.1237
Bi1 0.5000 0.5000 0.5000

Calculated values
Total energy   -3.037 eV/atom

Compound: ZnCuNi
Source: the Alexandria database
Functional: PBE
Structure: optimized geometry

abc: 4.0562 4.0562 2.5590
angles: 90.00 90.00 120.00
Fractional coordinates of all 3 atoms:
Ni1 0.3333 0.6667 0.3346
Zn1 0.6667 0.3333 0.6769
Cu1 0.0000 0.0000 0.9883

Calculated values
Relative energy among the computed polymorphs   0.0431 eV/atom
Total energy   -3.794 eV/atom

Compound: Ho3MgAu2
Source: the Alexandria database
Functional: PBE
Structure: optimized geometry

abc: 3.6377 3.6377 10.9722
angles: 90.00 90.00 90.00
Fractional coordinates of all 6 atoms:
Ho1 0.0000 0.0000 0.0000
Ho2 0.0000 0.0000 0.6813
Ho3 0.0000 0.0000 0.3187
Mg1 0.5000 0.5000 0.5000
Au1 0.5000 0.5000 0.8308
Au2 0.5000 0.5000 0.1692

Calculated values
Total energy   -4.251 eV/atom

Compound: LaZn9Pt2
Source: the Alexandria database
Functional: PBE
Structure: optimized geometry

abc: 6.9545 8.3276 8.3276
angles: 79.96 65.32 65.32
Fractional coordinates of all 24 atoms:
La1 0.5000 0.0000 0.0000
La2 0.2500 0.5000 0.5000
Zn1 0.7500 0.5000 0.5000
Zn2 0.0000 0.0000 0.0000
Zn3 0.0114 0.9153 0.6710
Zn4 0.5977 0.0847 0.3290
Zn5 0.6767 0.1710 0.5847
Zn6 0.4324 0.8290 0.4153
Zn7 0.7386 0.8290 0.5847
Zn8 0.1523 0.1710 0.4153
Zn9 0.0733 0.9153 0.3290
Zn10 0.3176 0.0847 0.6710
Zn11 0.7386 0.5847 0.8290
Zn12 0.1523 0.4153 0.1710
Zn13 0.0733 0.3290 0.9153
Zn14 0.3176 0.6710 0.0847
Zn15 0.0114 0.6710 0.9153
Zn16 0.5977 0.3290 0.0847
Zn17 0.6767 0.5847 0.1710
Zn18 0.4324 0.4153 0.8290
Pt1 0.8750 0.2500 0.7500
Pt2 0.8750 0.7500 0.2500
Pt3 0.8750 0.2500 0.2500
Pt4 0.3750 0.7500 0.7500

Calculated values
Relative energy among the computed polymorphs   0.0000 eV/atom
Total energy   -2.815 eV/atom

Compound: Th5Zr3H12
Source: the Alexandria database
Functional: PBE
Structure: optimized geometry

abc: 11.2425 11.2425 11.2425
angles: 109.47 109.47 109.47
Fractional coordinates of all 80 atoms:
H1 0.7358 0.1677 0.0863
H2 0.3505 0.5863 0.4186
H3 0.9137 0.3323 0.2642
H4 0.5863 0.2358 0.1677
H5 0.5680 0.7358 0.6495
H6 0.9137 0.5814 0.1495
H7 0.3505 0.7642 0.4320
H8 0.0814 0.9320 0.1677
H9 0.5814 0.9137 0.6495
H10 0.7358 0.5680 0.1495
H11 0.7642 0.4137 0.3323
H12 0.8505 0.9186 0.0863
H13 0.1677 0.7358 0.5863
H14 0.3323 0.4186 0.0680
H15 0.0680 0.9186 0.3323
H16 0.4320 0.1677 0.5814
H17 0.0680 0.1495 0.2358
H18 0.4137 0.6495 0.0814
H19 0.8505 0.9320 0.2642
H20 0.1677 0.4320 0.0814
H21 0.3323 0.9137 0.7642
H22 0.5814 0.6677 0.4320
H23 0.9186 0.8505 0.5863
H24 0.7642 0.3505 0.9320
H25 0.4186 0.3323 0.5680
H26 0.0814 0.1495 0.4137
H27 0.2358 0.6495 0.0680
H28 0.1495 0.0680 0.7358
H29 0.6677 0.0863 0.2358
H30 0.8323 0.5680 0.9186
H31 0.5863 0.3505 0.9186
H32 0.5680 0.8323 0.4186
H33 0.9320 0.8505 0.7642
H34 0.9320 0.0814 0.6677
H35 0.8323 0.2642 0.4137
H36 0.1495 0.0814 0.9137
H37 0.6677 0.5814 0.9320
H38 0.4186 0.0863 0.3505
H39 0.2642 0.4320 0.8505
H40 0.2358 0.5863 0.6677
H41 0.9186 0.0680 0.8323
H42 0.6495 0.2358 0.5680
H43 0.4137 0.7642 0.8323
H44 0.0863 0.4186 0.8505
H45 0.4320 0.2642 0.3505
H46 0.0863 0.6677 0.7358
H47 0.6495 0.4137 0.5814
H48 0.2642 0.8323 0.9137
Zr1 0.7500 0.3750 0.1250
Zr2 0.8750 0.7500 0.1250
Zr3 0.3750 0.7500 0.6250
Zr4 0.2500 0.1250 0.3750
Zr5 0.8750 0.1250 0.2500
Zr6 0.3750 0.6250 0.2500
Zr7 0.6250 0.3750 0.7500
Zr8 0.1250 0.8750 0.7500
Zr9 0.7500 0.8750 0.6250
Zr10 0.6250 0.2500 0.3750
Zr11 0.1250 0.2500 0.8750
Zr12 0.2500 0.6250 0.8750
Th1 0.1250 0.3750 0.2500
Th2 0.0000 0.5000 0.0000
Th3 0.0000 0.0000 0.0000
Th4 0.3750 0.2500 0.1250
Th5 0.5000 0.0000 0.5000
Th6 0.5000 0.5000 0.0000
Th7 0.1250 0.7500 0.3750
Th8 0.7500 0.1250 0.8750
Th9 0.7500 0.6250 0.3750
Th10 0.3750 0.1250 0.7500
Th11 0.6250 0.8750 0.2500
Th12 0.5000 0.5000 0.5000
Th13 0.5000 0.0000 0.0000
Th14 0.0000 0.0000 0.5000
Th15 0.2500 0.3750 0.6250
Th16 0.2500 0.8750 0.1250
Th17 0.0000 0.5000 0.5000
Th18 0.8750 0.2500 0.6250
Th19 0.6250 0.7500 0.8750
Th20 0.8750 0.6250 0.7500

Calculated values
Total energy   -5.449 eV/atom